A plane-wave DFT calculation with GGA-PBE was carried out for crystalline Be2Co2Si2IrOs at its relaxed geometry.

Results
- total DFT energy (no corrections) (eV/atom) = -7.135
- magnetic moment (μB per formula unit) = 0.0

Cell: 3.949 3.949 5.588 Å, 90.00 90.00 90.00°
Atoms (fractional coordinates):
1 Os 0.000 0.000 0.000
2 Si 0.500 0.000 0.244
3 Si 0.000 0.500 0.756
4 Co 0.500 0.500 0.000
5 Co 0.000 0.000 0.500
6 Ir 0.500 0.500 0.500
7 Be 0.500 0.000 0.753
8 Be 0.000 0.500 0.247